# KCoAgO3

KCoAgO3 after structural relaxation (PBE+U, the Open Quantum Materials Database).

abc: 2.9707 10.1146 11.3951
angles: 90.00 90.00 90.00
Each line ends with the local moment (μB).
Element x y z (fractional)
O1 0.7500 0.1785 0.1101  -0.04
Co1 0.7500 0.8793 0.9813  1.05
K1 0.7500 0.6425 0.7664  0.00
Ag1 0.7500 0.4013 0.9665  0.02
O2 0.2500 0.6785 0.3899  -0.04
O3 0.2500 0.2643 0.9209  0.02
Co2 0.2500 0.3793 0.5187  1.05
O4 0.7500 0.3215 0.6101  -0.04
K2 0.2500 0.1425 0.7336  0.00
K3 0.2500 0.3575 0.2336  0.00
O5 0.2500 0.2357 0.4209  0.02
Ag2 0.2500 0.9013 0.5335  0.02
O6 0.7500 0.4475 0.4245  -0.06
Co3 0.2500 0.1207 0.0187  1.05
O7 0.7500 0.7357 0.0791  0.02
Co4 0.7500 0.6207 0.4813  1.05
O8 0.2500 0.8215 0.8899  -0.04
K4 0.7500 0.8575 0.2664  0.00
O9 0.2500 0.5525 0.5755  -0.06
Ag3 0.7500 0.0987 0.4665  0.02
O10 0.7500 0.0525 0.9245  -0.06
O11 0.2500 0.9475 0.0755  -0.06
O12 0.7500 0.7643 0.5791  0.02
Ag4 0.2500 0.5987 0.0335  0.02

Raw total energy: -4.678 eV/atom